[1]
# NbB

A relaxed structure of NbB (PBE, Alexandria via LeMat-Bulk).

Values from the calculation:
**V**: 14.87 Å³/atom
**Energy relative to the elements**: -76 meV/atom
**DFT total energy**: -33.8 eV for the cell shown

a = 3.8687 Å, b = 3.8687 Å, c = 4.5890 Å
α = 90.00°, β = 90.00°, γ = 120.00°
Space group P6_3/mmc (No. 194)
One atom of each set of equivalent atoms:
Nb 0.3333 0.6667 0.2500 (multiplicity 2)
B 0.3333 0.6667 0.7500 (multiplicity 2)



[2]
# ScTaAl2Ag

A relaxed structure of ScTaAl2Ag (PBE, Alexandria via LeMat-Bulk).

Values from the calculation:
**V**: 21.66 Å³/atom
**Energy relative to the elements**: 851 meV/atom
**DFT total energy**: -24.3 eV for the cell shown

a = 4.640 Å, b = 4.640 Å, c = 5.030 Å
α = 90.00°, β = 90.00°, γ = 90.00°
Space group P4/mmm (No. 123)
One atom of each set of equivalent atoms:
Sc 0.000 0.000 0.000 (multiplicity 1)
Ta 0.500 0.500 0.000 (multiplicity 1)
Al 0.000 0.500 0.500 (multiplicity 2)
Ag 0.000 0.000 0.500 (multiplicity 1)



Question: Which of these has the lowest DFT total energy?
Answer: NbB